VASP calculation (PBE) on a relaxed structure of GdHo2Al7Ag2.

Space group: R-3m
VASP energy (eV/atom): -4.2672

Cell lengths 9.336, 9.336, 9.336 Å; angles 34.54, 34.54, 34.54 degrees
Fractional coordinates of all 12 atoms:
Ag  0.336  0.336  0.336
Ag  0.664  0.664  0.664
Al  0.588  0.588  0.076
Al  0.924  0.412  0.412
Al  0.412  0.924  0.412
Al  0.500  0.500  0.500
Al  0.588  0.076  0.588
Al  0.076  0.588  0.588
Al  0.412  0.412  0.924
Gd  0.000  0.000  0.000
Ho  0.142  0.142  0.142
Ho  0.858  0.858  0.858

VASP calculation (PBE) on a relaxed structure of ZrBe2Pd3.

Space group: P6/mmm
VASP energy (eV/atom): -5.7815

Cell lengths 5.413, 5.413, 3.346 Å; angles 90.00, 90.00, 120.00 degrees
Fractional coordinates of all 6 atoms:
Be  0.667  0.333  0.000
Be  0.333  0.667  0.000
Pd  0.500  0.000  0.500
Pd  0.000  0.500  0.500
Pd  0.500  0.500  0.500
Zr  0.000  0.000  0.000

VASP calculation (PBE) on a relaxed structure of TlNiHgIr.

Space group: F-43m
VASP energy (eV/atom): -3.6382

Cell lengths 4.624, 4.624, 4.624 Å; angles 60.00, 60.00, 60.00 degrees
Fractional coordinates of all 4 atoms:
Hg  0.250  0.250  0.250
Ir  0.500  0.500  0.500
Ni  0.750  0.750  0.750
Tl  0.000  0.000  0.000

VASP calculation (PBE) on a relaxed structure of LaTbSi4Ni2.

Space group: Amm2
VASP energy (eV/atom): -6.1250

Cell lengths 4.049, 8.496, 8.496 Å; angles 28.07, 90.00, 90.00 degrees
Fractional coordinates of all 8 atoms:
La  0.000  0.394  0.394
Ni  0.000  0.180  0.180
Ni  0.500  0.819  0.819
Si  0.000  0.042  0.042
Si  0.500  0.248  0.248
Si  0.000  0.748  0.748
Si  0.500  0.962  0.962
Tb  0.500  0.607  0.607

VASP calculation (PBE) on a relaxed structure of HoZrCS.

Space group: P-3m1
VASP energy (eV/atom): -7.8905

Cell lengths 3.549, 3.549, 12.560 Å; angles 90.00, 90.00, 120.00 degrees
Fractional coordinates of all 8 atoms:
C  0.000  0.000  0.000
C  0.000  0.000  0.500
Ho  0.667  0.333  0.107
Ho  0.333  0.667  0.893
S  0.333  0.667  0.263
S  0.667  0.333  0.737
Zr  0.667  0.333  0.404
Zr  0.333  0.667  0.596

VASP calculation (PBE) on a relaxed structure of NaGaFeTe.

Space group: F-43m
VASP energy (eV/atom): -3.5905

Cell lengths 4.941, 4.941, 4.941 Å; angles 60.00, 60.00, 60.00 degrees
Fractional coordinates of all 4 atoms:
Fe  0.500  0.500  0.500
Ga  0.000  0.000  0.000
Na  0.750  0.750  0.750
Te  0.250  0.250  0.250

- Among the records above, which one has the highest VASP energy?
  NaGaFeTe

- Number 1 is which compound?
  GdHo2Al7Ag2